(1)
Here is a relaxed structure of Nd4TlCd2Ga from Alexandria via LeMat-Bulk. Energies are from GGA-PBE.

**Energy relative to the elements**: -398 meV/atom
**Final energy**: -3.69 eV/atom
**DOS at the Fermi energy**: 1.3081 states/eV/atom
**Space-group type**: R-3m

Cell: 5.419 5.419 9.392 Å, 73.23 73.23 60.00°
Positions (direct):
Cd 0.252 0.252 0.243
Tl 0.000 0.000 0.000
Nd 0.130 0.130 0.611
Nd 0.620 0.620 0.139
Ga 0.500 0.500 0.500
Cd 0.748 0.748 0.757
Nd 0.870 0.870 0.389
Nd 0.380 0.380 0.861

---

(2)
Here is a relaxed structure of NiIr2Ru from Alexandria via LeMat-Bulk. Energies are from GGA-PBE.

**Offset from the most stable computed form**: 0.332 eV per atom
**Energy relative to the elements**: 321 meV/atom
**Final energy**: -7.87 eV/atom
**DOS at the Fermi energy**: 1.9548 states/eV/atom
**Space-group type**: Cmmm

Cell: 2.668 2.668 9.046 Å, 90.00 90.00 119.19°
Positions (direct):
Ir 0.000 0.000 0.008
Ru 0.500 0.500 0.750
Ni 0.500 0.500 0.250
Ir 0.000 0.000 0.492

---

(3)
Here is a relaxed structure of Mo2PbBr from Alexandria via LeMat-Bulk. Energies are from GGA-PBE.

**Offset from the most stable computed form**: 0.813 eV per atom
**Formation energy from raw total energies**: 98.7 kJ per mole of atoms
**Final energy**: -5.74 eV/atom
**DOS at the Fermi energy**: 1.3041 states/eV/atom
**Space-group type**: Cmmm

Cell: 3.237 3.237 9.262 Å, 90.00 90.00 123.35°
Positions (direct):
Mo 0.000 0.000 0.510
Mo 0.000 0.000 0.990
Br 0.500 0.500 0.750
Pb 0.500 0.500 0.250

---

(4)
Here is a relaxed structure of Al2CuPt3 from Alexandria via LeMat-Bulk. Energies are from GGA-PBE.

**Offset from the most stable computed form**: 0.084 eV per atom
**Energy relative to the elements**: -689 meV/atom
**Final energy**: -5.64 eV/atom
**DOS at the Fermi energy**: 0.2915 states/eV/atom
**Space-group type**: Ibam

Cell: 5.180 5.269 7.576 Å, 110.35 109.99 90.00°
Positions (direct):
Al 0.578 0.862 0.725
Cu 0.000 0.750 0.000
Cu 0.000 0.250 0.000
Pt 0.500 0.750 0.000
Pt 0.374 0.676 0.352
Al 0.147 0.362 0.725
Pt 0.023 0.824 0.648
Al 0.853 0.638 0.275
Pt 0.500 0.250 0.000
Pt 0.977 0.176 0.352
Pt 0.626 0.324 0.648
Al 0.422 0.138 0.275

---

(5)
Here is a relaxed structure of Pr7NiI12 from Alexandria via LeMat-Bulk. Energies are from GGA-PBE.

**Formation energy from raw total energies**: -119.1 kJ per mole of atoms
**Final energy**: -4.13 eV/atom
**DOS at the Fermi energy**: 0.4064 states/eV/atom
**Space-group type**: R-3

Cell: 10.043 10.043 10.043 Å, 107.42 107.42 107.41°
Positions (direct):
I 0.844 0.610 0.527
Pr 0.500 0.500 0.500
I 0.925 0.318 0.774
Ni 0.000 0.000 0.000
Pr 0.969 0.695 0.896
I 0.682 0.226 0.075
I 0.527 0.844 0.610
Pr 0.305 0.104 0.031
I 0.318 0.774 0.925
Pr 0.031 0.305 0.104
Pr 0.104 0.031 0.305
I 0.156 0.390 0.473
I 0.226 0.075 0.682
I 0.610 0.527 0.844
Pr 0.695 0.896 0.969
I 0.075 0.682 0.226
I 0.774 0.925 0.318
I 0.473 0.156 0.390
Pr 0.896 0.969 0.695
I 0.390 0.473 0.156